MgPt14Rh PBE relaxed; space group = Amm2 (38); total DFT energy (no corrections) = -95.6 eV for the cell shown
1.0
9.2821 0.0000 0.0000
0.0000 2.7879 4.8205
0.0000 -2.7879 4.8205
Mg Pt Rh
1 14 1
direct
0.0000 0.0000 0.0000
0.0000 0.0015 0.5001
0.0000 0.5001 0.0015
0.2452 0.3325 0.8324
0.2452 0.8324 0.3325
0.2466 0.3338 0.3338
0.2469 0.8336 0.8336
0.5000 0.1655 0.1655
0.5000 0.1654 0.6656
0.5000 0.6653 0.6653
0.5000 0.6656 0.1654
0.7534 0.3338 0.3338
0.7531 0.8336 0.8336
0.7548 0.3325 0.8324
0.7548 0.8324 0.3325
0.0000 0.4991 0.4991



Mg3Pt6Rh PBE relaxed; space group = P2_1/m (11); total DFT energy (no corrections) = -107.7 eV for the cell shown
1.0
7.4950 0.0000 0.0000
0.0000 4.5664 0.0000
-3.2456 0.0000 9.1636
Mg Pt Rh
6 12 2
direct
0.0829 0.2500 0.2283
0.3020 0.2500 0.0262
0.3101 0.7500 0.3761
0.6899 0.2500 0.6239
0.6980 0.7500 0.9738
0.9171 0.7500 0.7717
0.1014 0.2500 0.7293
0.1066 0.7500 0.0738
0.2935 0.2500 0.5353
0.3009 0.7500 0.8617
0.4952 0.2500 0.3317
0.4965 0.7500 0.1668
0.5035 0.2500 0.8332
0.5048 0.7500 0.6683
0.6991 0.2500 0.1383
0.7065 0.7500 0.4647
0.8934 0.2500 0.9262
0.8986 0.7500 0.2707
0.0940 0.7500 0.5662
0.9060 0.2500 0.4338



MgSbPtRh PBE relaxed; space group = F-43m (216); total DFT energy (no corrections) = -21.1 eV for the cell shown; formation energy without anion corrections = -0.4882 eV per atom
1.0
0.0000 3.2352 3.2352
3.2352 0.0000 3.2352
3.2352 3.2352 0.0000
Mg Sb Pt Rh
1 1 1 1
direct
0.0000 0.0000 0.0000
0.5000 0.5000 0.5000
0.7500 0.7500 0.7500
0.2500 0.2500 0.2500



MgSc2PtRh PBE relaxed; space group = P4/mmm (123); total DFT energy (no corrections) = -28.1 eV for the cell shown
1.0
4.9672 0.0000 0.0000
0.0000 4.9672 0.0000
0.0000 0.0000 4.7932
Mg Sc Pt Rh
1 2 1 1
direct
0.0000 0.0000 0.0000
0.0000 0.5000 0.5000
0.5000 0.0000 0.5000
0.0000 0.0000 0.5000
0.5000 0.5000 0.0000